Crystalline CaCd3Se at its relaxed geometry. Source: Alexandria, functional PBE-GGA.

Summary:
DOS at the Fermi energy = 1.122 states/eV per atom
formation energy without anion corrections = 0.5713 eV/atom
theoretical density = 3707 kg/m³

Cell and atoms, written as CIF:
```
data_CaCd3Se
_symmetry_space_group_name_H-M 'P m -3 m'
_symmetry_Int_Tables_number 221
_symmetry_space_group_name_Hall '-P 4 2 3'
_cell_length_a 5.890
_cell_length_b 5.890
_cell_length_c 5.890
_cell_angle_alpha 90.00
_cell_angle_beta 90.00
_cell_angle_gamma 90.00
loop_
_atom_site_label
_atom_site_fract_x
_atom_site_fract_y
_atom_site_fract_z
Ca1 0.000 0.000 0.000
Cd1 0.000 0.000 0.500
Se1 0.500 0.500 0.500
```

=====

Crystalline ZrBrCl2 at its relaxed geometry. Source: Alexandria, functional PBE-GGA.

Summary:
DOS at the Fermi energy = 1.094 states/eV per atom
formation energy without anion corrections = -0.9141 eV/atom
theoretical density = 4224 kg/m³

Cell and atoms, written as CIF:
```
data_ZrBrCl2
_symmetry_space_group_name_H-M 'R 3 m'
_symmetry_Int_Tables_number 160
_symmetry_space_group_name_Hall 'R 3 -2"'
_cell_length_a 3.5380
_cell_length_b 3.5380
_cell_length_c 26.3344
_cell_angle_alpha 90.00
_cell_angle_beta 90.00
_cell_angle_gamma 120.00
loop_
_atom_site_label
_atom_site_fract_x
_atom_site_fract_y
_atom_site_fract_z
Zr1 0.0000 0.0000 0.0000
Br1 0.0000 0.0000 0.7358
Cl1 0.0000 0.0000 0.2710
Cl2 0.0000 0.0000 0.5005
```